No. 1
A plane-wave DFT calculation with PBE was carried out for a geometry-optimized Cs3KMn2I9 structure.

```
Cs3KMn2I9
1.0
8.326 0.000 0.000
-4.163 7.211 0.000
0.000 0.000 11.378
Cs K I Mn
3 1 9 2
Cartesian
0.000 4.807 8.160
4.163 2.404 3.219
0.000 0.000 0.000
0.000 0.000 5.689
6.174 1.243 8.095
-2.082 3.605 0.000
2.082 3.605 0.000
2.011 5.968 3.284
-2.011 5.968 3.284
2.152 1.243 8.095
4.163 0.000 0.000
4.163 4.725 8.095
0.000 2.485 3.284
0.000 4.807 1.805
4.163 2.404 9.573
```

Values from the calculation:
SG = P-3m1 (164)
ΔE_f (raw) = -0.971 eV per atom

No. 2
A plane-wave DFT calculation with PBE was carried out for a geometry-optimized PtAuBr2 structure.

```
PtAuBr2
1.0
-4.280 -4.432 4.558
0.867 -5.207 5.556
1.645 6.748 -3.240
Br Au Pt
2 1 1
Cartesian
0.403 -1.640 3.686
0.000 0.000 0.000
-2.171 -1.252 3.187
-1.706 -4.820 5.057
```

Values from the calculation:
Polymorph energy (0 for the lowest one) = 0.4142 eV/atom
SG = I-4m2 (119)
ΔE_f (raw) = 0.440 eV per atom

Number 1: E_tot -50.515 eV/f.u.. Number 2: E_tot -10.906 eV/f.u..